# 1
Material: TaMoW2
Method: DFT, PBEsol
State: optimized geometry

Summary:
Fermi-level density of states: 1.41 states/eV/f.u.
E above lowest polymorph: 31 meV/atom
total magnetic moment: 0.000 μB per atom

Unit cell a=2.759 b=4.469 c=5.256 alpha=90.00 beta=100.00 gamma=90.00
Fractional positions:
Ta 0.000 0.000 0.000
Mo 0.249 0.500 0.750
W 0.494 0.000 0.500
W 0.742 0.500 0.253



# 2
Material: Sn2Pd2Au
Method: DFT, PBEsol
State: optimized geometry

Summary:
Fermi-level density of states: 1.36 states/eV/f.u.
E above lowest polymorph: 59 meV/atom
total magnetic moment: 0.000 μB per atom

Unit cell a=7.259 b=7.259 c=3.485 alpha=90.00 beta=90.00 gamma=90.00
Fractional positions:
Sn 0.163 0.337 0.000
Sn 0.337 0.837 0.000
Sn 0.663 0.163 0.000
Sn 0.837 0.663 0.000
Pd 0.137 0.637 0.500
Pd 0.363 0.137 0.500
Pd 0.637 0.863 0.500
Pd 0.863 0.363 0.500
Au 0.000 0.000 0.500
Au 0.500 0.500 0.500



# 3
Material: TcMo2Cl
Method: DFT, PBEsol
State: optimized geometry

Summary:
Fermi-level density of states: 2.68 states/eV/f.u.
E above lowest polymorph: 0 meV/atom
total magnetic moment: 0.000 μB per atom
ΔE_f (raw): 0.252 eV per atom

Unit cell a=8.683 b=8.683 c=8.683 alpha=18.94 beta=18.94 gamma=18.94
Fractional positions:
Tc 0.000 0.000 0.000
Mo 0.502 0.502 0.502
Mo 0.745 0.745 0.745
Cl 0.243 0.243 0.243



# 4
Material: MgIn3
Method: DFT, PBEsol
State: optimized geometry

Summary:
Fermi-level density of states: 1.71 states/eV/f.u.
total magnetic moment: 0.000 μB per atom
uncorrected energy: -10.88 eV for the cell shown

Unit cell a=3.278 b=3.278 c=8.973 alpha=90.00 beta=90.00 gamma=90.16
Fractional positions:
Mg 0.000 0.000 0.000
In 0.000 0.000 0.500
In 0.500 0.500 0.237
In 0.500 0.500 0.763



# 5
Material: SrSCl2
Method: DFT, PBEsol
State: optimized geometry

Summary:
Fermi-level density of states: 1.22 states/eV/f.u.
E above lowest polymorph: 0 meV/atom
total magnetic moment: 0.000 μB per atom
ΔE_f (raw): -1.115 eV per atom

Unit cell a=9.823 b=9.823 c=9.823 alpha=152.76 beta=152.76 gamma=38.90
Fractional positions:
Sr 0.000 0.000 0.000
Sr 0.750 0.250 0.500
S 0.250 0.750 0.500
S 0.500 0.500 0.000
Cl 0.147 0.625 0.022
Cl 0.375 0.397 0.522
Cl 0.603 0.125 0.978
Cl 0.875 0.853 0.478



# 6
Material: InAsH3
Method: DFT, PBEsol
State: optimized geometry

Summary:
Fermi-level density of states: 3.00 states/eV/f.u.
total magnetic moment: 0.000 μB per atom
uncorrected energy: -13.93 eV for the cell shown

Unit cell a=3.875 b=3.875 c=3.875 alpha=90.00 beta=90.00 gamma=90.00
Fractional positions:
In 0.000 0.000 0.000
As 0.500 0.500 0.500
H 0.000 0.000 0.500
H 0.000 0.500 0.000
H 0.500 0.000 0.000